9
Lattice="3.467 0.000 0.000 0.000 7.463 -4.309 0.000 0.000 8.618" Properties=species:S:1:pos:R:3 comment="CaTb2Hg6 | the Alexandria database | PBE | relaxed" magmom_total_mub_per_fu=0.00 e_form_ev_per_atom=-0.41 space_group="No. 191" energy_ev_per_atom=-1.86 pbc="T T T"
Ca 0.000 0.000 8.618
Hg 1.733 4.975 5.745
Hg 1.733 0.000 5.745
Hg 1.733 2.488 -1.437
Tb 0.000 2.488 4.309
Hg 1.733 0.000 2.873
Tb 3.467 4.975 0.000
Hg 1.733 4.975 2.872
Hg 1.733 2.488 1.437